DFT (PBE+U) results for a geometry-optimized PrMn7O12 structure.

spin magnetization: 28.00 μB per formula unit
calculated total energy: -7.648 eV per atom

Lattice parameters (Å, degrees): 6.5707 6.5707 6.5707 109.54 109.54 109.54
Closest atoms and distances in Å follow each position.
Element x y z (fractional)
Pr 0.0000 0.0000 0.0000  12 O 2.67-2.69
Mn 0.0000 0.0000 0.5000  6 O 2.00-2.07
Mn 0.0000 0.5000 0.0000  6 O 2.00-2.07
Mn 0.0000 0.5000 0.5000  4 O 1.97-1.98
Mn 0.5000 0.0000 0.0000  6 O 2.00-2.07
Mn 0.5000 0.0000 0.5000  4 O 1.97-1.98
Mn 0.5000 0.5000 0.0000  4 O 1.97-1.98
Mn 0.5000 0.5000 0.5000  6 O 1.99
O 0.1314 0.8209 0.3047  3 Mn 1.98-2.05
O 0.1787 0.3127 0.4795  3 Mn 1.97-2.07
O 0.1791 0.6953 0.8686  3 Mn 1.98-2.05
O 0.3047 0.1314 0.8209  3 Mn 1.98-2.05
O 0.3127 0.4795 0.1787  3 Mn 1.97-2.07
O 0.4795 0.1787 0.3127  3 Mn 1.97-2.07
O 0.5205 0.8213 0.6873  3 Mn 1.97-2.07
O 0.6873 0.5205 0.8213  3 Mn 1.97-2.07
O 0.6953 0.8686 0.1791  3 Mn 1.98-2.05
O 0.8209 0.3047 0.1314  3 Mn 1.98-2.05
O 0.8213 0.6873 0.5205  3 Mn 1.97-2.07
O 0.8686 0.1791 0.6953  3 Mn 1.98-2.05